Entry 1:
## ZnCo2ReH (PBE)

Data for ZnCo2ReH after structural relaxation.

Lattice parameters (Å, degrees): 4.433 5.040 4.433 90.00 90.00 90.00
Each line ends with the local moment (μB).
Fractional coordinates of all 5 atoms:
Re 0.000 0.000 0.000  0.16
Zn 0.000 0.500 0.000  0.01
Co 0.000 0.000 0.500  1.04
Co 0.500 0.000 0.000  0.51
H 0.500 0.500 0.500  0.28

Its space-group type is P4/mmm (123). The calculation puts the calculated volume at 99.0 Å³ per cell. Its size of the total moment is 2.4 μB per formula unit. As for the uncorrected energy: -22.022 eV/cell.

Entry 2:
## Co2H3Rh2 (PBE)

Data for Co2H3Rh2 after structural relaxation.

Lattice parameters (Å, degrees): 2.758 4.693 4.747 101.28 106.88 90.00
Each line ends with the local moment (μB).
Fractional coordinates of all 7 atoms:
Co 0.870 0.624 0.739  1.61
Co 0.130 0.376 0.261  1.61
H 0.000 0.000 0.000  -0.01
H 0.750 0.262 0.499  -0.01
H 0.250 0.738 0.501  -0.01
Rh 0.617 0.850 0.235  0.56
Rh 0.383 0.150 0.765  0.56

Its space-group type is C2/m (12). The calculation puts the calculated volume at 57.5 Å³ per cell. Its size of the total moment is 4.2 μB per formula unit. As for the uncorrected energy: -38.733 eV/cell.